K2HOs, relaxed, DFT GGA-PBE; magnetic moment = 0.750 μB per atom; relative energy among the computed polymorphs = 645 meV/atom; symmetry = Fm-3m (225); DOS at the Fermi energy = 15.8 states/eV per cell
1.0
0.000 3.945 3.945
3.945 0.000 3.945
3.945 3.945 0.000
K H Os
2 1 1
direct
0.250 0.250 0.250
0.750 0.750 0.750
0.000 0.000 0.000
0.500 0.500 0.500

K2H6Os, relaxed, DFT GGA-PBE; magnetic moment = 0.222 μB per atom; symmetry = P4_2/mnm (136); DOS at the Fermi energy = 6.9 states/eV per cell; total energy = -65.29 eV/cell
1.0
5.155 0.000 0.000
0.000 5.155 0.000
0.000 0.000 10.814
K H Os
4 12 2
direct
0.000 0.000 0.162
0.000 0.000 0.838
0.500 0.500 0.338
0.500 0.500 0.662
0.157 0.157 0.381
0.157 0.157 0.619
0.235 0.765 0.500
0.265 0.265 0.000
0.343 0.657 0.119
0.343 0.657 0.881
0.657 0.343 0.119
0.657 0.343 0.881
0.735 0.735 0.000
0.765 0.235 0.500
0.843 0.843 0.381
0.843 0.843 0.619
0.000 0.000 0.500
0.500 0.500 0.000

K2H5Os, relaxed, DFT GGA-PBE; magnetic moment = 0.131 μB per atom; symmetry = Cm (8); total energy = -29.95 eV/cell
1.0
3.822 -4.149 0.000
3.822 4.149 0.000
-3.728 0.000 4.270
K H Os
2 5 1
direct
0.238 0.762 0.000
0.762 0.238 0.000
0.253 0.649 0.453
0.326 0.326 0.121
0.649 0.253 0.453
0.653 0.653 0.380
0.684 0.684 0.922
0.526 0.526 0.518

K3H9Os2, relaxed, DFT GGA-PBE; magnetic moment = 0.147 μB per atom; symmetry = P6_3/mmc (194); DOS at the Fermi energy = 12.5 states/eV per cell; total energy = -114.78 eV/cell
1.0
5.861 0.000 0.000
-2.931 5.076 0.000
0.000 0.000 14.519
K H Os
6 18 4
direct
0.000 0.000 0.250
0.000 0.000 0.750
0.333 0.667 0.080
0.333 0.667 0.420
0.667 0.333 0.580
0.667 0.333 0.920
0.051 0.525 0.750
0.200 0.400 0.598
0.200 0.400 0.902
0.200 0.800 0.598
0.200 0.800 0.902
0.400 0.200 0.098
0.400 0.200 0.402
0.475 0.525 0.750
0.475 0.949 0.750
0.525 0.051 0.250
0.525 0.475 0.250
0.600 0.800 0.598
0.600 0.800 0.902
0.800 0.200 0.098
0.800 0.200 0.402
0.800 0.600 0.098
0.800 0.600 0.402
0.949 0.475 0.250
0.333 0.667 0.666
0.333 0.667 0.834
0.667 0.333 0.166
0.667 0.333 0.334

K2HOs2, relaxed, DFT GGA-PBE; magnetic moment = 0.735 μB per atom; relative energy among the computed polymorphs = 130 meV/atom; symmetry = I4/mmm (139); DOS at the Fermi energy = 5.2 states/eV per cell
1.0
-3.269 3.269 3.062
3.269 -3.269 3.062
3.269 3.269 -3.062
K H Os
2 1 2
direct
0.250 0.750 0.500
0.750 0.250 0.500
0.000 0.000 0.000
0.313 0.313 0.000
0.687 0.687 0.000

K2HOs, relaxed, DFT GGA-PBE; magnetic moment = 0.295 μB per atom; relative energy among the computed polymorphs = 0 meV/atom; symmetry = I-42d (122); DOS at the Fermi energy = 3.8 states/eV per cell
1.0
-5.793 5.793 1.717
5.793 -5.793 1.717
5.793 5.793 -1.717
K H Os
4 2 2
direct
0.375 0.174 0.299
0.826 0.125 0.201
0.875 0.076 0.701
0.924 0.625 0.799
0.000 0.000 0.000
0.750 0.250 0.500
0.250 0.750 0.500
0.500 0.500 0.000